Entry 1
VASP calculation (PBE) on a relaxed Hf3Zr2Pa crystal.

```
Hf3Zr2Pa
1.0
6.3537 0.0000 0.0000
3.1563 5.7001 0.0000
0.0289 1.7003 7.7320
Hf Zr Pa
6 4 2
direct
0.1479 0.2106 0.3279
0.2389 0.5174 0.9940
0.3471 0.3105 0.6538
0.6529 0.6895 0.3462
0.7611 0.4826 0.0060
0.8521 0.7894 0.6721
0.1424 0.7115 0.3324
0.3585 0.7964 0.6733
0.6415 0.2036 0.3267
0.8576 0.2885 0.6676
0.2774 0.9995 0.0007
0.7226 0.0005 0.9993
```

Computed properties:
- Density of states at the Fermi level: 1.2959 states/eV/atom
- SG: P-1


Entry 2
VASP calculation (PBE) on a relaxed Hf3Zr2Pa crystal.

```
Hf3Zr2Pa
1.0
4.1778 -5.8901 0.0000
4.1778 5.8901 0.0000
0.0000 0.0000 5.8306
Hf Zr Pa
6 4 2
direct
0.1411 0.5004 0.2214
0.1648 0.8352 0.5000
0.5004 0.1411 0.7214
0.4996 0.8589 0.2214
0.8352 0.1648 0.0000
0.8589 0.4996 0.7214
0.2401 0.3919 0.7261
0.3919 0.2401 0.2261
0.6081 0.7599 0.7261
0.7599 0.6081 0.2261
0.1054 0.8946 0.9762
0.8946 0.1054 0.4762
```

Computed properties:
- Density of states at the Fermi level: 1.2467 states/eV/atom
- SG: Cmc2_1


In terms of stability, entry 1 leads; the second structure lies 194 meV/atom higher.


Entry 1
VASP calculation (PBE) on a relaxed HfZrPa4 crystal.

```
HfZrPa4
1.0
1.5493 -9.0450 0.0000
1.5493 9.0450 0.0000
0.0000 0.0000 10.4044
Hf Zr Pa
2 2 8
direct
0.2460 0.7540 0.7500
0.7540 0.2460 0.2500
0.0928 0.9072 0.2500
0.9072 0.0928 0.7500
0.0741 0.9259 0.7500
0.3343 0.6657 0.0117
0.3343 0.6657 0.4883
0.5000 0.5000 0.0000
0.5000 0.5000 0.5000
0.6657 0.3343 0.5117
0.6657 0.3343 0.9883
0.9259 0.0741 0.2500
```

Computed properties:
- Density of states at the Fermi level: 2.2224 states/eV/atom
- SG: Cmcm


Entry 2
VASP calculation (PBE) on a relaxed HfZrPa4 crystal.

```
HfZrPa4
1.0
-1.5543 2.9598 7.9680
1.5543 -2.9598 7.9680
1.5543 2.9598 -7.9680
Hf Zr Pa
1 1 4
direct
0.0000 0.0000 0.0000
0.8266 0.3266 0.5000
0.3334 0.8334 0.5000
0.4096 0.6625 0.7471
0.4956 0.4956 0.0000
0.9155 0.6625 0.2529
```

Computed properties:
- Density of states at the Fermi level: 2.1745 states/eV/atom
- SG: Imm2


In terms of stability, entry 1 leads; the second structure lies 83 meV/atom higher.


Entry 1
VASP calculation (PBE) on a relaxed HfZrPa2 crystal.

```
HfZrPa2
1.0
4.3835 0.0000 0.0000
0.0000 4.3835 0.0000
0.0000 0.0000 5.0123
Hf Zr Pa
1 1 2
direct
0.0000 0.0000 0.0000
0.5000 0.5000 0.0000
0.0000 0.5000 0.5000
0.5000 0.0000 0.5000
```

Computed properties:
- Density of states at the Fermi level: 1.8891 states/eV/atom
- SG: P4/mmm


Entry 2
VASP calculation (PBE) on a relaxed HfZrPa2 crystal.

```
HfZrPa2
1.0
2.5625 1.4794 4.2047
-2.5625 1.4794 4.2047
0.0000 -2.9589 4.2047
Hf Zr Pa
1 1 2
direct
0.0000 0.0000 0.0000
0.7417 0.7417 0.7417
0.2558 0.2558 0.2558
0.4850 0.4850 0.4850
```

Computed properties:
- Density of states at the Fermi level: 2.4131 states/eV/atom
- SG: R3m


In terms of stability, entry 1 leads; the second structure lies 32 meV/atom higher.


Entry 1
VASP calculation (PBE) on a relaxed HfZrPa2 crystal.

```
HfZrPa2
1.0
5.8236 0.0000 0.0000
0.0000 3.2046 0.0000
-2.3554 0.0000 10.3347
Hf Zr Pa
2 2 4
direct
0.1425 0.2500 0.1217
0.8575 0.7500 0.8783
0.3520 0.2500 0.8754
0.6480 0.7500 0.1246
0.0686 0.7500 0.3749
0.4342 0.7500 0.6249
0.5658 0.2500 0.3751
0.9314 0.2500 0.6251
```

Computed properties:
- Density of states at the Fermi level: 1.3230 states/eV/atom
- SG: P2_1/m


Entry 2
VASP calculation (PBE) on a relaxed HfZrPa2 crystal.

```
HfZrPa2
1.0
0.0000 3.6472 3.6472
3.6472 0.0000 3.6472
3.6472 3.6472 0.0000
Hf Zr Pa
1 1 2
direct
0.0000 0.0000 0.0000
0.5000 0.5000 0.5000
0.2500 0.2500 0.2500
0.7500 0.7500 0.7500
```

Computed properties:
- Density of states at the Fermi level: 2.9021 states/eV/atom
- SG: Fm-3m


In terms of stability, entry 1 leads; the second structure lies 267 meV/atom higher.


Entry 1
VASP calculation (PBE) on a relaxed HfZr6Pa crystal.

```
HfZr6Pa
1.0
5.0957 0.0000 0.0000
0.0000 3.4964 5.2792
0.0000 -3.4964 5.2792
Hf Zr Pa
1 6 1
direct
0.0000 0.0000 0.0000
0.0000 0.5096 0.9705
0.0000 0.9705 0.5096
0.5000 0.1518 0.6975
0.5000 0.1941 0.1941
0.5000 0.6644 0.6644
0.5000 0.6975 0.1518
0.0000 0.4553 0.4553
```

Computed properties:
- Density of states at the Fermi level: 1.1394 states/eV/atom
- SG: Amm2


Entry 2
VASP calculation (PBE) on a relaxed HfZr6Pa crystal.

```
HfZr6Pa
1.0
5.1322 2.9631 2.0523
-5.1322 2.9631 2.0523
0.0000 -5.9261 2.0523
Hf Zr Pa
1 6 1
direct
0.0000 0.0000 0.0000
0.2496 0.2496 0.7453
0.2496 0.7453 0.2496
0.2547 0.7504 0.7504
0.7453 0.2496 0.2496
0.7504 0.2547 0.7504
0.7504 0.7504 0.2547
0.5000 0.5000 0.5000
```

Computed properties:
- Density of states at the Fermi level: 1.7820 states/eV/atom
- SG: R-3m


In terms of stability, entry 1 leads; the second structure lies 145 meV/atom higher.


Entry 1
VASP calculation (PBE) on a relaxed Hf5Pb crystal.

```
Hf5Pb
1.0
3.2020 0.0000 0.0000
0.0000 3.2020 0.0000
0.0000 0.0000 13.5421
Hf Pb
5 1
direct
0.0000 0.0000 0.0000
0.0000 0.0000 0.3213
0.0000 0.0000 0.6787
0.5000 0.5000 0.1636
0.5000 0.5000 0.8364
0.5000 0.5000 0.5000
```

Computed properties:
- Density of states at the Fermi level: 1.0685 states/eV/atom
- SG: P4/mmm


Entry 2
VASP calculation (PBE) on a relaxed Hf5Pb crystal.

```
Hf5Pb
1.0
2.1879 -7.0985 0.0000
2.1879 7.0985 0.0000
0.0000 0.0000 4.3602
Hf Pb
5 1
direct
0.0000 0.0000 0.0000
0.1732 0.8268 0.5000
0.3293 0.6707 0.0000
0.6707 0.3293 0.0000
0.8268 0.1732 0.5000
0.5000 0.5000 0.5000
```

Computed properties:
- Density of states at the Fermi level: 0.7863 states/eV/atom
- SG: Cmmm


In terms of stability, entry 2 leads; the second structure lies 60 meV/atom higher.


Entry 1
VASP calculation (PBE) on a relaxed Hf2PdPb2 crystal.

```
Hf2PdPb2
1.0
7.1737 0.0000 0.0000
0.0000 7.1737 0.0000
0.0000 0.0000 4.3899
Hf Pd Pb
4 2 4
direct
0.1602 0.3398 0.0000
0.3398 0.8398 0.0000
0.6602 0.1602 0.0000
0.8398 0.6602 0.0000
0.0000 0.0000 0.5000
0.5000 0.5000 0.5000
0.1473 0.6473 0.5000
0.3527 0.1473 0.5000
0.6473 0.8527 0.5000
0.8527 0.3527 0.5000
```

Computed properties:
- Density of states at the Fermi level: 0.8440 states/eV/atom
- SG: P4/mbm


Entry 2
VASP calculation (PBE) on a relaxed Hf2PdPb2 crystal.

```
Hf2PdPb2
1.0
7.0515 0.0000 0.0000
0.0000 7.0515 0.0000
0.0000 0.0000 4.7954
Hf Pd Pb
4 2 4
direct
0.1552 0.3448 0.0000
0.3448 0.8448 0.0000
0.6552 0.1552 0.0000
0.8448 0.6552 0.0000
0.0000 0.0000 0.0000
0.5000 0.5000 0.0000
0.1635 0.6635 0.5000
0.3365 0.1635 0.5000
0.6635 0.8365 0.5000
0.8365 0.3365 0.5000
```

Computed properties:
- Density of states at the Fermi level: 0.7060 states/eV/atom
- SG: P4/mbm


In terms of stability, entry 2 leads; the second structure lies 48 meV/atom higher.


Entry 1
VASP calculation (PBE) on a relaxed Hf3PdPb crystal.

```
Hf3PdPb
1.0
5.2623 0.0000 0.0000
0.0000 5.2623 0.0000
0.0000 0.0000 5.2623
Hf Pd Pb
3 1 1
direct
0.0000 0.0000 0.5000
0.0000 0.5000 0.0000
0.5000 0.0000 0.0000
0.5000 0.5000 0.5000
0.0000 0.0000 0.0000
```

Computed properties:
- Density of states at the Fermi level: 1.4276 states/eV/atom
- SG: Pm-3m


Entry 2
VASP calculation (PBE) on a relaxed Hf3PdPb crystal.

```
Hf3PdPb
1.0
5.0377 0.0000 0.0000
0.0000 5.0377 0.0000
0.0000 0.0000 5.0377
Hf Pd Pb
3 1 1
direct
0.0000 0.0000 0.5000
0.0000 0.5000 0.0000
0.5000 0.0000 0.0000
0.0000 0.0000 0.0000
0.5000 0.5000 0.5000
```

Computed properties:
- Density of states at the Fermi level: 0.5466 states/eV/atom
- SG: Pm-3m


In terms of stability, entry 2 leads; the second structure lies 1242 meV/atom higher.


Entry 1
VASP calculation (PBE) on a relaxed HfPtPb3 crystal.

```
HfPtPb3
1.0
5.5560 0.0000 0.0000
0.0000 5.5560 0.0000
0.0000 0.0000 5.5560
Hf Pt Pb
1 1 3
direct
0.0000 0.0000 0.0000
0.5000 0.5000 0.5000
0.0000 0.0000 0.5000
0.0000 0.5000 0.0000
0.5000 0.0000 0.0000
```

Computed properties:
- Density of states at the Fermi level: 1.1361 states/eV/atom
- SG: Pm-3m


Entry 2
VASP calculation (PBE) on a relaxed HfPtPb3 crystal.

```
HfPtPb3
1.0
5.3542 0.0000 0.0000
0.0000 5.3542 0.0000
0.0000 0.0000 5.3542
Hf Pt Pb
1 1 3
direct
0.0000 0.0000 0.0000
0.5000 0.5000 0.5000
0.0000 0.5000 0.5000
0.5000 0.0000 0.5000
0.5000 0.5000 0.0000
```

Computed properties:
- Density of states at the Fermi level: 1.0259 states/eV/atom
- SG: Pm-3m


In terms of stability, entry 2 leads; the second structure lies 261 meV/atom higher.


Entry 1
VASP calculation (PBE) on a relaxed Hf3PtPb crystal.

```
Hf3PtPb
1.0
5.2112 0.0000 0.0000
0.0000 5.2112 0.0000
0.0000 0.0000 5.2112
Hf Pt Pb
3 1 1
direct
0.0000 0.0000 0.5000
0.0000 0.5000 0.0000
0.5000 0.0000 0.0000
0.5000 0.5000 0.5000
0.0000 0.0000 0.0000
```

Computed properties:
- Density of states at the Fermi level: 0.9951 states/eV/atom
- SG: Pm-3m


Entry 2
VASP calculation (PBE) on a relaxed Hf3PtPb crystal.

```
Hf3PtPb
1.0
5.0771 0.0000 0.0000
0.0000 5.0771 0.0000
0.0000 0.0000 5.0771
Hf Pt Pb
3 1 1
direct
0.0000 0.0000 0.5000
0.0000 0.5000 0.0000
0.5000 0.0000 0.0000
0.0000 0.0000 0.0000
0.5000 0.5000 0.5000
```

Computed properties:
- Density of states at the Fermi level: 0.4150 states/eV/atom
- SG: Pm-3m


In terms of stability, entry 2 leads; the second structure lies 1464 meV/atom higher.


Entry 1
VASP calculation (PBE) on a relaxed HfPtPb2 crystal.

```
HfPtPb2
1.0
0.0000 3.5571 3.5571
3.5571 0.0000 3.5571
3.5571 3.5571 0.0000
Hf Pt Pb
1 1 2
direct
0.0000 0.0000 0.0000
0.5000 0.5000 0.5000
0.2500 0.2500 0.2500
0.7500 0.7500 0.7500
```

Computed properties:
- Density of states at the Fermi level: 0.8510 states/eV/atom
- SG: Fm-3m


Entry 2
VASP calculation (PBE) on a relaxed HfPtPb2 crystal.

```
HfPtPb2
1.0
-4.0172 4.0172 2.9912
4.0172 -4.0172 2.9912
4.0172 4.0172 -2.9912
Hf Pt Pb
2 2 4
direct
0.0000 0.0000 0.0000
0.7500 0.2500 0.5000
0.2500 0.7500 0.5000
0.5000 0.5000 0.0000
0.1585 0.6250 0.0335
0.3750 0.4085 0.5335
0.5915 0.1250 0.9665
0.8750 0.8415 0.4665
```

Computed properties:
- Density of states at the Fermi level: 0.6361 states/eV/atom
- SG: I-42d


In terms of stability, entry 2 leads; the second structure lies 61 meV/atom higher.


Entry 1
VASP calculation (PBE) on a relaxed PuHf2Pb crystal.

```
PuHf2Pb
1.0
4.6461 0.0000 0.0000
0.0000 4.6461 0.0000
0.0000 0.0000 4.3355
Pu Hf Pb
1 2 1
direct
0.0000 0.0000 0.0000
0.0000 0.5000 0.5000
0.5000 0.0000 0.5000
0.5000 0.5000 0.0000
```

Computed properties:
- Density of states at the Fermi level: 2.0049 states/eV/atom
- SG: P4/mmm


Entry 2
VASP calculation (PBE) on a relaxed PuHf2Pb crystal.

```
PuHf2Pb
1.0
1.6544 0.9551 10.1849
-1.6544 0.9551 10.1849
0.0000 -1.9103 10.1849
Pu Hf Pb
1 2 1
direct
0.0000 0.0000 0.0000
0.2506 0.2506 0.2506
0.7494 0.7494 0.7494
0.5000 0.5000 0.5000
```

Computed properties:
- Density of states at the Fermi level: 1.6846 states/eV/atom
- SG: R-3m


In terms of stability, entry 1 leads; the second structure lies 99 meV/atom higher.